[1]
## Tc2RuRh (GGA-PBE)

Data for a relaxed structure of Tc2RuRh.

Unit cell a=9.019 b=2.716 c=4.744 alpha=90.00 beta=99.94 gamma=90.00
Space group Cm (No. 8)
One atom of each set of equivalent atoms:
Tc 0.000 0.000 0.000 [2 per cell]
Tc 0.248 0.000 0.742 [2 per cell]
Ru 0.245 0.500 0.228 [2 per cell]
Rh 0.498 0.000 0.497 [2 per cell]

Values from the calculation:
Total DFT energy (no corrections): -9.34 eV/atom
Formation enthalpy at 0 K: 0.00 eV per atom
Energy relative to the lowest polymorph listed for this composition: 135 meV/atom


[2]
## TbGdGaAu (GGA-PBE)

Data for a relaxed structure of TbGdGaAu.

Unit cell a=7.257 b=7.257 c=7.257 alpha=90.00 beta=90.00 gamma=90.00
Space group F-43m (No. 216)
One atom of each set of equivalent atoms:
Tb 0.000 0.000 0.000 [4 per cell]
Gd 0.000 0.000 0.500 [4 per cell]
Ga 0.250 0.250 0.250 [4 per cell]
Au 0.250 0.250 0.750 [4 per cell]

Values from the calculation:
Total DFT energy (no corrections): -6.94 eV/atom
Formation enthalpy at 0 K: -0.69 eV per atom


Fermi-level density of states per entry: 4.150 4.033 states/eV/f.u.